Entry i
BaNiAs2Se after structural relaxation. Source: Alexandria, functional GGA-PBE.

a = 4.698 Å, b = 4.698 Å, c = 5.362 Å
α = 90.00°, β = 90.00°, γ = 90.00°
Sites, in units of the cell vectors:
1 Ni 0.000 0.000 0.000
2 As 0.000 0.500 0.000
3 As 0.500 0.000 0.000
4 Ba 0.500 0.500 0.500
5 Se 0.000 0.000 0.500

* spin magnetization: 0.00 μB per formula unit
* density: 5.96 g/cm³

---

Entry ii
BaNiAs2Se after structural relaxation. Source: Alexandria, functional GGA-PBE.

a = 5.916 Å, b = 5.916 Å, c = 5.932 Å
α = 90.00°, β = 90.00°, γ = 90.00°
Sites, in units of the cell vectors:
1 Ni 0.500 0.500 0.500
2 As 0.000 0.500 0.000
3 As 0.500 0.000 0.000
4 Ba 0.000 0.000 0.000
5 Se 0.000 0.000 0.500

* spin magnetization: 2.59 μB per formula unit
* density: 3.40 g/cm³

---

Most stable structure: entry i

---

Entry i
BaNpAs2 after structural relaxation. Source: Alexandria, functional GGA-PBE.

a = 3.687 Å, b = 3.687 Å, c = 7.718 Å
α = 90.00°, β = 90.00°, γ = 90.00°
Sites, in units of the cell vectors:
1 Np 0.500 0.500 0.000
2 As 0.000 0.000 0.792
3 As 0.000 0.000 0.208
4 Ba 0.500 0.500 0.500

* spin magnetization: 3.21 μB per formula unit
* density: 8.30 g/cm³

---

Entry ii
BaNpAs2 after structural relaxation. Source: Alexandria, functional GGA-PBE.

a = 4.339 Å, b = 4.339 Å, c = 7.842 Å
α = 73.94°, β = 73.94°, γ = 60.00°
Sites, in units of the cell vectors:
1 Np 0.000 0.000 0.000
2 As 0.267 0.267 0.200
3 As 0.733 0.733 0.800
4 Ba 0.500 0.500 0.500

* spin magnetization: 3.00 μB per formula unit
* density: 7.18 g/cm³

---

Entry iii
BaNpAs2 after structural relaxation. Source: Alexandria, functional GGA-PBE.

a = 4.296 Å, b = 4.296 Å, c = 8.016 Å
α = 74.46°, β = 74.46°, γ = 60.00°
Sites, in units of the cell vectors:
1 Ba 0.498 0.498 0.507
2 Np 0.668 0.668 0.996
3 As 0.068 0.068 0.797
4 As 0.267 0.267 0.199

* spin magnetization: 3.00 μB per formula unit
* density: 7.15 g/cm³

---

Most stable structure: entry ii

---

Entry i
Ba4As2O after structural relaxation. Source: Alexandria, functional GGA-PBE.

a = 5.227 Å, b = 5.227 Å, c = 9.477 Å
α = 73.99°, β = 73.99°, γ = 90.00°
Sites, in units of the cell vectors:
1 As 0.364 0.364 0.271
2 As 0.636 0.636 0.729
3 Ba 0.176 0.176 0.648
4 Ba 0.824 0.824 0.352
5 Ba 0.000 0.500 0.000
6 Ba 0.500 0.000 0.000
7 O 0.000 0.000 0.000

* spin magnetization: 0.00 μB per formula unit
* density: 4.98 g/cm³

---

Entry ii
Ba4As2O after structural relaxation. Source: Alexandria, functional GGA-PBE.

a = 7.571 Å, b = 7.461 Å, c = 9.520 Å
α = 90.00°, β = 108.56°, γ = 90.00°
Sites, in units of the cell vectors:
1 Ba 0.489 0.505 0.253
2 Ba 0.072 0.750 0.920
3 Ba 0.928 0.250 0.080
4 Ba 0.489 0.995 0.253
5 Ba 0.945 0.250 0.638
6 Ba 0.511 0.005 0.747
7 Ba 0.511 0.495 0.747
8 Ba 0.055 0.750 0.362
9 As 0.718 0.750 0.051
10 As 0.282 0.250 0.949
11 As 0.239 0.250 0.433
12 As 0.761 0.750 0.567
13 O 0.259 0.750 0.194
14 O 0.741 0.250 0.806

* spin magnetization: 0.00 μB per formula unit
* density: 4.66 g/cm³

---

Entry iii
Ba4As2O after structural relaxation. Source: Alexandria, functional GGA-PBE.

a = 5.141 Å, b = 5.141 Å, c = 10.182 Å
α = 75.38°, β = 75.38°, γ = 90.00°
Sites, in units of the cell vectors:
1 As 0.854 0.854 0.292
2 As 0.146 0.146 0.708
3 Ba 0.683 0.683 0.635
4 Ba 0.317 0.317 0.365
5 Ba 0.000 0.500 0.000
6 Ba 0.500 0.000 0.000
7 O 0.000 0.000 0.000

* spin magnetization: 0.50 μB per formula unit
* density: 4.72 g/cm³

---

Entry iv
Ba4As2O after structural relaxation. Source: Alexandria, functional GGA-PBE.

a = 7.338 Å, b = 7.608 Å, c = 9.322 Å
α = 90.00°, β = 113.18°, γ = 90.00°
Sites, in units of the cell vectors:
1 Ba 0.824 0.944 0.649
2 Ba 0.176 0.056 0.351
3 Ba 0.676 0.444 0.351
4 Ba 0.324 0.556 0.649
5 Ba 0.734 0.250 0.969
6 Ba 0.766 0.750 0.031
7 Ba 0.234 0.250 0.969
8 Ba 0.266 0.750 0.031
9 As 0.635 0.019 0.271
10 As 0.365 0.981 0.729
11 As 0.865 0.519 0.729
12 As 0.135 0.481 0.271
13 O 0.000 0.000 0.000
14 O 0.500 0.500 0.000

* spin magnetization: 0.00 μB per formula unit
* density: 4.96 g/cm³

---

Most stable structure: entry iv

---

Entry i
Ba2As6O11 after structural relaxation. Source: Alexandria, functional GGA-PBE.

a = 7.603 Å, b = 7.325 Å, c = 6.756 Å
α = 85.41°, β = 85.07°, γ = 71.32°
Sites, in units of the cell vectors:
1 As 0.214 0.384 0.386
2 As 0.160 0.737 0.704
3 As 0.868 0.851 0.063
4 As 0.972 0.144 0.956
5 As 0.844 0.232 0.415
6 As 0.345 0.870 0.176
7 Ba 0.682 0.721 0.605
8 Ba 0.457 0.296 0.888
9 O 0.431 0.005 0.373
10 O 0.197 0.113 0.061
11 O 0.025 0.653 0.919
12 O 0.641 0.375 0.531
13 O 0.212 0.484 0.620
14 O 0.966 0.423 0.408
15 O 0.375 0.691 0.806
16 O 0.790 0.279 0.142
17 O 0.179 0.786 0.297
18 O 0.697 0.949 0.883
19 O 0.295 0.133 0.516

* spin magnetization: 0.00 μB per formula unit
* density: 4.22 g/cm³

---

Entry ii
Ba2As6O11 after structural relaxation. Source: Alexandria, functional GGA-PBE.

a = 5.350 Å, b = 7.249 Å, c = 9.415 Å
α = 70.92°, β = 86.68°, γ = 83.57°
Sites, in units of the cell vectors:
1 Ba 0.221 0.316 0.420
2 Ba 0.750 0.702 0.565
3 As 0.733 0.126 0.185
4 As 0.252 0.888 0.828
5 As 0.797 0.597 0.111
6 As 0.232 0.412 0.910
7 As 0.254 0.860 0.273
8 As 0.723 0.146 0.742
9 O 0.989 0.029 0.321
10 O 0.983 0.963 0.702
11 O 0.968 0.424 0.811
12 O 0.112 0.474 0.081
13 O 0.664 0.358 0.222
14 O 0.353 0.657 0.799
15 O 0.275 0.680 0.447
16 O 0.734 0.325 0.569
17 O 0.489 0.017 0.320
18 O 0.468 0.020 0.682
19 O 0.877 0.659 0.263

* spin magnetization: 0.00 μB per formula unit
* density: 4.36 g/cm³

---

Most stable structure: entry ii

---

Entry i
BaAs3O after structural relaxation. Source: Alexandria, functional GGA-PBE.

a = 5.932 Å, b = 5.932 Å, c = 5.932 Å
α = 90.00°, β = 90.00°, γ = 90.00°
Sites, in units of the cell vectors:
1 As 0.000 0.500 0.000
2 As 0.000 0.000 0.500
3 As 0.500 0.000 0.000
4 Ba 0.000 0.000 0.000
5 O 0.500 0.500 0.500

* spin magnetization: 0.00 μB per formula unit
* density: 3.01 g/cm³

---

Entry ii
BaAs3O after structural relaxation. Source: Alexandria, functional GGA-PBE.

a = 4.726 Å, b = 4.726 Å, c = 4.726 Å
α = 90.00°, β = 90.00°, γ = 90.00°
Sites, in units of the cell vectors:
1 As 0.000 0.500 0.000
2 As 0.000 0.000 0.500
3 As 0.500 0.000 0.000
4 Ba 0.500 0.500 0.500
5 O 0.000 0.000 0.000

* spin magnetization: 0.00 μB per formula unit
* density: 5.95 g/cm³

---

Most stable structure: entry ii

---

Entry i
BaAsPO2 after structural relaxation. Source: Alexandria, functional GGA-PBE.

a = 4.322 Å, b = 4.322 Å, c = 7.109 Å
α = 90.00°, β = 90.00°, γ = 90.00°
Sites, in units of the cell vectors:
1 P 0.000 0.000 0.500
2 As 0.500 0.500 0.500
3 Ba 0.000 0.000 0.000
4 O 0.000 0.500 0.000
5 O 0.500 0.000 0.000

* spin magnetization: 0.25 μB per formula unit
* density: 3.44 g/cm³

---

Entry ii
BaAsPO2 after structural relaxation. Source: Alexandria, functional GGA-PBE.

a = 4.270 Å, b = 4.270 Å, c = 4.705 Å
α = 90.00°, β = 90.00°, γ = 90.00°
Sites, in units of the cell vectors:
1 P 0.000 0.000 0.500
2 As 0.000 0.000 0.000
3 Ba 0.500 0.500 0.500
4 O 0.000 0.500 0.000
5 O 0.500 0.000 0.000

* spin magnetization: 0.00 μB per formula unit
* density: 5.33 g/cm³

---

Most stable structure: entry ii